DFT (PBE) results for a relaxed structure of Ca2PuIn2Pd5.

Properties
N(E_F) (states/eV per atom): 1.78
Formation energy (eV/atom): -0.5189

Lattice parameters (Å, degrees): 10.5352 10.5352 3.8659 90.00 90.00 90.00
With the nearest neighbours (Å) after each atom.
Space group P4/mbm (No. 127)
Symmetry-distinct sites (fractional):
Ca 0.1711 0.3289 0.0000  3 In 3.01-3.18, 6 Pd 3.20-3.35
Pu 0.0000 0.0000 0.0000  8 Pd 2.92
In 0.1272 0.6272 0.0000  6 Pd 2.71-2.76, 1 Ca 3.01
Pd 0.0000 0.5000 0.5000  4 In 2.71
Pd 0.0546 0.7993 0.5000  2 In 2.76, 2 Pu 2.92